A plane-wave DFT calculation with PBE was carried out for crystalline CrFe2Cl at its relaxed geometry.

Calculated values
Energy relative to the elements, uncorrected = 3.01 eV per formula unit
Calculated volume = 14.2 Å³/atom
E above lowest polymorph = 2.244 eV per formula unit

Cell: 3.459 3.459 4.741 Å, 90.00 90.00 90.00°
Element x y z (fractional)
Cr (0.000, 0.000, 0.000)
Fe (0.000, 0.500, 0.500)
Fe (0.500, 0.000, 0.500)
Cl (0.500, 0.500, 0.000)



A plane-wave DFT calculation with PBE was carried out for crystalline Cr3FeCl at its relaxed geometry.

Calculated values
Energy relative to the elements, uncorrected = 7.30 eV per formula unit
Calculated volume = 15.7 Å³/atom
E above lowest polymorph = 2.318 eV per formula unit

Cell: 4.280 4.280 4.280 Å, 90.00 90.00 90.00°
Element x y z (fractional)
Cr (0.000, 0.000, 0.500)
Cr (0.000, 0.500, 0.000)
Cr (0.500, 0.000, 0.000)
Fe (0.000, 0.000, 0.000)
Cl (0.500, 0.500, 0.500)



A plane-wave DFT calculation with PBE was carried out for crystalline CrFe2Cl at its relaxed geometry.

Calculated values
Energy relative to the elements, uncorrected = 3.08 eV per formula unit
Calculated volume = 13.6 Å³/atom
E above lowest polymorph = 2.317 eV per formula unit

Cell: 4.257 4.257 4.257 Å, 60.00 60.00 60.00°
Element x y z (fractional)
Cr (0.000, 0.000, 0.000)
Fe (0.250, 0.250, 0.250)
Fe (0.500, 0.500, 0.500)
Cl (0.750, 0.750, 0.750)



A plane-wave DFT calculation with PBE was carried out for crystalline CrFeCl2 at its relaxed geometry.

Calculated values
Energy relative to the elements, uncorrected = 2.99 eV per formula unit
Calculated volume = 19.0 Å³/atom
E above lowest polymorph = 3.620 eV per formula unit

Cell: 4.756 4.756 4.756 Å, 60.00 60.00 60.00°
Element x y z (fractional)
Cr (0.000, 0.000, 0.000)
Fe (0.750, 0.750, 0.750)
Cl (0.250, 0.250, 0.250)
Cl (0.500, 0.500, 0.500)



A plane-wave DFT calculation with PBE was carried out for crystalline Cr2FeCl at its relaxed geometry.

Calculated values
Energy relative to the elements, uncorrected = 2.52 eV per formula unit
Calculated volume = 13.4 Å³/atom
E above lowest polymorph = 1.629 eV per formula unit

Cell: 4.784 4.784 4.136 Å, 92.70 92.70 34.51°
Element x y z (fractional)
Cr (0.218, 0.218, 0.304)
Cr (0.782, 0.782, 0.696)
Fe (0.500, 0.500, 0.500)
Cl (0.000, 0.000, 0.000)



A plane-wave DFT calculation with PBE was carried out for crystalline CrFeCl2 at its relaxed geometry.

Calculated values
Energy relative to the elements, uncorrected = 0.89 eV per formula unit
Calculated volume = 19.6 Å³/atom
E above lowest polymorph = 1.514 eV per formula unit

Cell: 6.819 6.819 6.819 Å, 150.11 150.11 42.78°
Element x y z (fractional)
Cr (0.000, 0.000, 0.000)
Fe (0.250, 0.750, 0.500)
Cl (0.500, 0.500, 0.000)
Cl (0.750, 0.250, 0.500)



A plane-wave DFT calculation with PBE was carried out for crystalline Cr2FeCl at its relaxed geometry.

Calculated values
Energy relative to the elements, uncorrected = 2.91 eV per formula unit
Calculated volume = 17.4 Å³/atom
E above lowest polymorph = 2.015 eV per formula unit

Cell: 5.674 5.674 5.674 Å, 112.88 112.88 102.86°
Element x y z (fractional)
Cr (0.107, 0.625, 0.982)
Cr (0.375, 0.357, 0.482)
Cr (0.643, 0.125, 0.018)
Cr (0.875, 0.893, 0.518)
Fe (0.000, 0.000, 0.000)
Fe (0.750, 0.250, 0.500)
Cl (0.250, 0.750, 0.500)
Cl (0.500, 0.500, 0.000)



A plane-wave DFT calculation with PBE was carried out for crystalline CrFeCl2 at its relaxed geometry.

Calculated values
Energy relative to the elements, uncorrected = -0.05 eV per formula unit
Calculated volume = 19.2 Å³/atom
E above lowest polymorph = 0.581 eV per formula unit

Cell: 3.067 3.067 8.158 Å, 90.00 90.00 90.00°
Element x y z (fractional)
Cr (0.000, 0.000, 0.000)
Fe (0.500, 0.500, 0.243)
Cl (0.000, 0.000, 0.402)
Cl (0.500, 0.500, 0.830)